[1]
Entry from Alexandria via LeMat-Bulk: crystalline NaHfGa at its relaxed geometry (PBE).

Lattice parameters (Å, degrees): 4.571 4.571 10.625 90.00 90.00 120.00
Sites, in units of the cell vectors:
1 Ga 0.000 0.000 0.250
2 Ga 0.000 0.000 0.750
3 Na 0.667 0.333 0.750
4 Hf 0.000 0.000 0.500
5 Na 0.333 0.667 0.250
6 Hf 0.000 0.000 0.000

Summary:
The total magnetization comes out at 0.0 μB per formula unit. Its density of states at the Fermi level is 9.4 states/eV per cell. For the electronic total energy, the calculation gives -0.1301 Ha/atom. The calculation puts the relative energy among the computed polymorphs at 1353 meV per atom. The calculated formation energy comes out at 1.22 eV/atom.

=====

[2]
Entry from Alexandria via LeMat-Bulk: crystalline NaHfGa at its relaxed geometry (PBE).

Lattice parameters (Å, degrees): 15.399 3.209 3.209 119.98 90.21 89.79
Sites, in units of the cell vectors:
1 Hf 0.996 0.312 0.688
2 Ga 0.688 0.650 0.350
3 Na 0.314 0.309 0.691
4 Na 0.521 0.985 0.015
5 Ga 0.148 0.977 0.023
6 Hf 0.838 0.981 0.019

Summary:
The total magnetization comes out at 0.0 μB per formula unit. Its density of states at the Fermi level is 2.4 states/eV per cell. For the electronic total energy, the calculation gives -0.1766 Ha/atom. The calculation puts the relative energy among the computed polymorphs at 89 meV per atom. The calculated formation energy comes out at -0.04 eV/atom.

=====

[3]
Entry from Alexandria via LeMat-Bulk: crystalline NaHfGa at its relaxed geometry (PBE).

Lattice parameters (Å, degrees): 8.538 3.163 4.784 89.99 73.95 88.21
Sites, in units of the cell vectors:
1 Na 0.582 0.400 0.056
2 Hf 0.208 0.449 0.748
3 Hf 0.957 0.350 0.372
4 Na 0.583 0.900 0.556
5 Ga 0.897 0.879 0.902
6 Ga 0.268 0.920 0.219

Summary:
The total magnetization comes out at 0.0 μB per formula unit. Its density of states at the Fermi level is 2.8 states/eV per cell. For the electronic total energy, the calculation gives -0.1763 Ha/atom. The calculation puts the relative energy among the computed polymorphs at 96 meV per atom. The calculated formation energy comes out at -0.03 eV/atom.

=====

[4]
Entry from Alexandria via LeMat-Bulk: crystalline NaHfGa at its relaxed geometry (PBE).

Lattice parameters (Å, degrees): 8.386 5.830 4.820 90.00 90.00 90.00
Sites, in units of the cell vectors:
1 Hf 0.201 0.750 0.500
2 Ga 0.500 0.500 0.500
3 Hf 0.701 0.750 0.000
4 Na 0.866 0.750 0.500
5 Ga 0.000 0.500 0.000
6 Hf 0.799 0.250 0.500
7 Na 0.634 0.250 0.000
8 Ga 0.500 0.000 0.500
9 Na 0.366 0.750 0.000
10 Na 0.134 0.250 0.500
11 Ga 0.000 0.000 0.000
12 Hf 0.299 0.250 0.000

Summary:
The total magnetization comes out at 0.0 μB per formula unit. Its density of states at the Fermi level is 2.0 states/eV per cell. For the electronic total energy, the calculation gives -0.1570 Ha/atom. The calculation puts the relative energy among the computed polymorphs at 623 meV per atom. The calculated formation energy comes out at 0.50 eV/atom.

=====

[5]
Entry from Alexandria via LeMat-Bulk: crystalline NaHfGa at its relaxed geometry (PBE).

Lattice parameters (Å, degrees): 15.912 3.192 3.192 119.95 101.71 78.29
Sites, in units of the cell vectors:
1 Ga 0.231 0.677 0.323
2 Hf 0.921 0.887 0.113
3 Hf 0.079 0.113 0.887
4 Ga 0.769 0.323 0.677
5 Na 0.397 0.898 0.102
6 Na 0.603 0.102 0.898

Summary:
The total magnetization comes out at 0.0 μB per formula unit. Its density of states at the Fermi level is 3.4 states/eV per cell. For the electronic total energy, the calculation gives -0.1763 Ha/atom. The calculation puts the relative energy among the computed polymorphs at 97 meV per atom. The calculated formation energy comes out at -0.03 eV/atom.

=====

[6]
Entry from Alexandria via LeMat-Bulk: crystalline NaHfGa at its relaxed geometry (PBE).

Lattice parameters (Å, degrees): 4.956 4.956 3.093 90.00 90.00 120.00
Sites, in units of the cell vectors:
1 Na 0.667 0.333 0.500
2 Hf 0.333 0.667 0.000
3 Ga 0.000 0.000 0.000

Summary:
The total magnetization comes out at 0.0 μB per formula unit. Its density of states at the Fermi level is 0.9 states/eV per cell. For the electronic total energy, the calculation gives -0.1630 Ha/atom. The calculation puts the relative energy among the computed polymorphs at 459 meV per atom. The calculated formation energy comes out at 0.33 eV/atom.

=====

[7]
Entry from Alexandria via LeMat-Bulk: crystalline NaHfGa at its relaxed geometry (PBE).

Lattice parameters (Å, degrees): 10.393 10.393 3.522 90.00 90.00 156.22
Sites, in units of the cell vectors:
1 Hf 0.560 0.440 0.250
2 Na 0.191 0.809 0.750
3 Na 0.809 0.191 0.250
4 Ga 0.050 0.950 0.750
5 Ga 0.950 0.050 0.250
6 Hf 0.440 0.560 0.750

Summary:
The total magnetization comes out at 0.0 μB per formula unit. Its density of states at the Fermi level is 2.6 states/eV per cell. For the electronic total energy, the calculation gives -0.1774 Ha/atom. The calculation puts the relative energy among the computed polymorphs at 69 meV per atom. The calculated formation energy comes out at -0.06 eV/atom.

=====

[8]
Entry from Alexandria via LeMat-Bulk: crystalline NaHfGa at its relaxed geometry (PBE).

Lattice parameters (Å, degrees): 8.036 4.395 8.098 90.00 90.00 90.00
Sites, in units of the cell vectors:
1 Hf 0.617 0.250 0.062
2 Na 0.977 0.750 0.149
3 Ga 0.291 0.250 0.139
4 Hf 0.383 0.750 0.938
5 Hf 0.117 0.250 0.438
6 Hf 0.883 0.750 0.562
7 Na 0.523 0.250 0.649
8 Ga 0.709 0.750 0.861
9 Na 0.023 0.250 0.851
10 Na 0.477 0.750 0.351
11 Ga 0.791 0.250 0.361
12 Ga 0.209 0.750 0.639

Summary:
The total magnetization comes out at 0.0 μB per formula unit. Its density of states at the Fermi level is 6.2 states/eV per cell. For the electronic total energy, the calculation gives -0.1699 Ha/atom. The calculation puts the relative energy among the computed polymorphs at 272 meV per atom. The calculated formation energy comes out at 0.14 eV/atom.

=====

What is the calculated formation energy in the fourth record? 0.50 eV/atom

=====

Which value of calculated formation energy does entry 3 give? -0.03 eV/atom

=====

Look up the total magnetization of the sixth one. 0.0 μB per formula unit

=====

The lowest calculated formation energy belongs to which entry? number 7